1.
Entry from Alexandria via LeMat-Bulk: a relaxed CoAsW3 crystal (PBE-GGA).

Unit cell a=4.486 b=4.486 c=4.486 alpha=90.00 beta=90.00 gamma=90.00
Fractional coordinates of all 5 atoms:
Co 0.000 0.000 0.000
As 0.500 0.500 0.500
W 0.000 0.000 0.500
W 0.000 0.500 0.000
W 0.500 0.000 0.000

Properties
- Space-group type: Pm-3m
- Energy above the most stable polymorph in this dataset: 0.0000 eV per atom
- Volume: 90 Å³/cell
- Formation energy: 142 kJ/mol of atoms
- ρ: 12.60 g cm⁻³
- Fermi-level density of states: 0.84 states/eV/atom



2.
Entry from Alexandria via LeMat-Bulk: a relaxed CoAsW crystal (PBE-GGA).

Unit cell a=5.670 b=5.670 c=5.670 alpha=90.00 beta=90.00 gamma=90.00
Fractional coordinates of all 12 atoms:
Co 0.000 0.000 0.000
Co 0.000 0.500 0.500
Co 0.500 0.000 0.500
Co 0.500 0.500 0.000
As 0.250 0.250 0.250
As 0.250 0.750 0.750
As 0.750 0.250 0.750
As 0.750 0.750 0.250
W 0.250 0.250 0.750
W 0.250 0.750 0.250
W 0.750 0.250 0.250
W 0.750 0.750 0.750

Properties
- Space-group type: F-43m
- Volume: 182 Å³/cell
- Formation energy: 31 kJ/mol of atoms
- ρ: 11.58 g cm⁻³
- Fermi-level density of states: 1.52 states/eV/atom



3.
Entry from Alexandria via LeMat-Bulk: a relaxed CoAsW crystal (PBE-GGA).

Unit cell a=4.080 b=4.080 c=2.850 alpha=90.00 beta=90.00 gamma=120.00
Fractional coordinates of all 3 atoms:
Co 0.000 0.000 0.000
As 0.333 0.667 0.000
W 0.667 0.333 0.500

Properties
- Space-group type: P-6m2
- Volume: 41 Å³/cell
- Formation energy: 22 kJ/mol of atoms
- ρ: 12.84 g cm⁻³
- Fermi-level density of states: 1.03 states/eV/atom